# 1
Below is crystalline LaTl2RhPb at its relaxed geometry, with properties calculated at the PBE-GGA level.

Cell and atoms, written as POSCAR:
```
LaTl2RhPb
1.0
5.315 0.000 0.000
0.000 5.315 0.000
0.000 0.000 5.307
La Tl Rh Pb
1 2 1 1
direct
0.000 0.000 0.000 La
0.000 0.500 0.500 Tl
0.500 0.000 0.500 Tl
0.000 0.000 0.500 Rh
0.500 0.500 0.000 Pb
```

Summary:
* M_tot: 0.00 μB per formula unit
* crystal system: tetragonal
* mass density: 9.501 g/cm3
* energy relative to the elements: -290 meV/atom

=====

# 2
Below is crystalline La2TlRhPb at its relaxed geometry, with properties calculated at the PBE-GGA level.

Cell and atoms, written as POSCAR:
```
La2TlRhPb
1.0
5.498 0.000 0.000
0.000 5.498 0.000
0.000 0.000 5.247
La Tl Rh Pb
2 1 1 1
direct
0.000 0.500 0.000 La
0.500 0.000 0.000 La
0.000 0.000 0.500 Tl
0.500 0.500 0.000 Rh
0.500 0.500 0.500 Pb
```

Summary:
* M_tot: 0.00 μB per formula unit
* crystal system: tetragonal
* mass density: 8.294 g/cm3
* energy above the lowest structure with this stoichiometry: 0.0649 eV/atom
* energy relative to the elements: -459 meV/atom

=====

# 3
Below is crystalline La2TlRhPb at its relaxed geometry, with properties calculated at the PBE-GGA level.

Cell and atoms, written as POSCAR:
```
La2TlRhPb
1.0
5.480 0.000 0.000
0.000 5.480 0.000
0.000 0.000 5.234
La Tl Rh Pb
2 1 1 1
direct
0.000 0.500 0.000 La
0.500 0.000 0.000 La
0.000 0.000 0.500 Tl
0.000 0.000 0.000 Rh
0.500 0.500 0.500 Pb
```

Summary:
* M_tot: 0.00 μB per formula unit
* crystal system: tetragonal
* mass density: 8.370 g/cm3
* energy above the lowest structure with this stoichiometry: 0.0000 eV/atom
* energy relative to the elements: -524 meV/atom

=====

# 4
Below is crystalline LaY2RhPb at its relaxed geometry, with properties calculated at the PBE-GGA level.

Cell and atoms, written as POSCAR:
```
LaY2RhPb
1.0
5.408 0.000 0.000
0.000 5.408 0.000
0.000 0.000 5.408
La Y Rh Pb
1 2 1 1
direct
0.000 0.000 0.000 La
0.000 0.500 0.500 Y
0.500 0.000 0.500 Y
0.000 0.000 0.500 Rh
0.500 0.500 0.000 Pb
```

Summary:
* M_tot: 0.00 μB per formula unit
* crystal system: tetragonal
* mass density: 6.581 g/cm3
* energy relative to the elements: -464 meV/atom

=====

# 5
Below is crystalline La2YRhPb at its relaxed geometry, with properties calculated at the PBE-GGA level.

Cell and atoms, written as POSCAR:
```
La2YRhPb
1.0
5.444 0.000 0.000
0.000 5.444 0.000
0.000 0.000 5.503
La Y Rh Pb
2 1 1 1
direct
0.000 0.500 0.000 La
0.500 0.000 0.000 La
0.000 0.000 0.500 Y
0.000 0.000 0.000 Rh
0.500 0.500 0.500 Pb
```

Summary:
* M_tot: 0.00 μB per formula unit
* crystal system: tetragonal
* mass density: 6.892 g/cm3
* energy relative to the elements: -506 meV/atom

=====

# 6
Below is crystalline LaZn2RhPb at its relaxed geometry, with properties calculated at the PBE-GGA level.

Cell and atoms, written as POSCAR:
```
LaZn2RhPb
1.0
4.906 0.000 0.000
0.000 4.906 0.000
0.000 0.000 6.365
La Zn Rh Pb
1 2 1 1
direct
0.000 0.000 0.000 La
0.000 0.500 0.500 Zn
0.500 0.000 0.500 Zn
0.500 0.500 0.000 Rh
0.000 0.000 0.500 Pb
```

Summary:
* M_tot: 0.00 μB per formula unit
* crystal system: tetragonal
* mass density: 6.285 g/cm3
* energy relative to the elements: 763 meV/atom

=====

# 7
Below is crystalline La2Zn2Rh5Pb at its relaxed geometry, with properties calculated at the PBE-GGA level.

Cell and atoms, written as POSCAR:
```
La2Zn2Rh5Pb
1.0
9.905 0.000 0.000
0.000 9.905 0.000
0.000 0.000 3.775
La Zn Rh Pb
4 4 10 2
direct
0.177 0.323 0.000 La
0.323 0.823 0.000 La
0.677 0.177 0.000 La
0.823 0.677 0.000 La
0.120 0.620 0.000 Zn
0.380 0.120 0.000 Zn
0.620 0.880 0.000 Zn
0.880 0.380 0.000 Zn
0.000 0.500 0.500 Rh
0.069 0.788 0.500 Rh
0.212 0.069 0.500 Rh
0.288 0.569 0.500 Rh
0.431 0.288 0.500 Rh
0.500 0.000 0.500 Rh
0.569 0.712 0.500 Rh
0.712 0.431 0.500 Rh
0.788 0.931 0.500 Rh
0.931 0.212 0.500 Rh
0.000 0.000 0.000 Pb
0.500 0.500 0.000 Pb
```

Summary:
* M_tot: 0.00 μB per formula unit
* crystal system: tetragonal
* mass density: 10.135 g/cm3
* energy relative to the elements: -540 meV/atom

=====

# 8
Below is crystalline La3RuPb at its relaxed geometry, with properties calculated at the PBE-GGA level.

Cell and atoms, written as POSCAR:
```
La3RuPb
1.0
5.472 0.000 0.000
0.000 5.472 0.000
0.000 0.000 5.472
La Ru Pb
3 1 1
direct
0.000 0.000 0.500 La
0.000 0.500 0.000 La
0.500 0.000 0.000 La
0.000 0.000 0.000 Ru
0.500 0.500 0.500 Pb
```

Summary:
* M_tot: 0.00 μB per formula unit
* crystal system: cubic
* mass density: 7.349 g/cm3
* energy above the lowest structure with this stoichiometry: 0.0102 eV/atom
* energy relative to the elements: -435 meV/atom

=====

# 9
Below is crystalline LaRuPb2 at its relaxed geometry, with properties calculated at the PBE-GGA level.

Cell and atoms, written as POSCAR:
```
LaRuPb2
1.0
3.506 0.000 0.000
0.000 3.506 0.000
0.000 0.000 7.899
La Ru Pb
1 1 2
direct
0.000 0.000 0.000 La
0.000 0.000 0.500 Ru
0.500 0.500 0.298 Pb
0.500 0.500 0.702 Pb
```

Summary:
* M_tot: 0.65 μB per formula unit
* crystal system: tetragonal
* mass density: 11.189 g/cm3
* energy relative to the elements: -2 meV/atom

=====

# 10
Below is crystalline La3RuPb at its relaxed geometry, with properties calculated at the PBE-GGA level.

Cell and atoms, written as POSCAR:
```
La3RuPb
1.0
7.247 -7.053 0.000
7.247 7.053 0.000
-1.637 0.000 6.190
La Ru Pb
12 4 4
direct
0.087 0.775 0.958 La
0.136 0.537 0.392 La
0.225 0.913 0.542 La
0.327 0.444 0.928 La
0.444 0.327 0.428 La
0.463 0.864 0.108 La
0.537 0.136 0.892 La
0.556 0.673 0.572 La
0.673 0.556 0.072 La
0.775 0.087 0.458 La
0.864 0.463 0.608 La
0.913 0.225 0.042 La
0.317 0.683 0.250 Ru
0.318 0.682 0.750 Ru
0.682 0.318 0.250 Ru
0.683 0.317 0.750 Ru
0.112 0.229 0.572 Pb
0.229 0.112 0.072 Pb
0.771 0.888 0.928 Pb
0.888 0.771 0.428 Pb
```

Summary:
* M_tot: 0.00 μB per formula unit
* crystal system: monoclinic
* mass density: 7.610 g/cm3
* energy above the lowest structure with this stoichiometry: 0.0786 eV/atom
* energy relative to the elements: -367 meV/atom

=====

# 11
Below is crystalline La3RuPb at its relaxed geometry, with properties calculated at the PBE-GGA level.

Cell and atoms, written as POSCAR:
```
La3RuPb
1.0
5.062 0.000 0.000
-2.531 4.384 0.000
0.000 0.000 16.702
La Ru Pb
6 2 2
direct
0.000 0.000 0.250 La
0.000 0.000 0.750 La
0.333 0.667 0.091 La
0.333 0.667 0.409 La
0.667 0.333 0.591 La
0.667 0.333 0.909 La
0.333 0.667 0.250 Ru
0.667 0.333 0.750 Ru
0.000 0.000 0.000 Pb
0.000 0.000 0.500 Pb
```

Summary:
* M_tot: 0.00 μB per formula unit
* crystal system: hexagonal
* mass density: 6.496 g/cm3
* energy above the lowest structure with this stoichiometry: 0.2715 eV/atom
* energy relative to the elements: -174 meV/atom

=====

# 12
Below is crystalline La5Ru2Pb at its relaxed geometry, with properties calculated at the PBE-GGA level.

Cell and atoms, written as POSCAR:
```
La5Ru2Pb
1.0
-4.029 4.029 7.209
4.029 -4.029 7.209
4.029 4.029 -7.209
La Ru Pb
10 4 2
direct
0.000 0.000 0.000 La
0.031 0.531 0.822 La
0.210 0.031 0.500 La
0.290 0.790 0.822 La
0.469 0.290 0.500 La
0.500 0.500 0.000 La
0.531 0.710 0.500 La
0.710 0.210 0.178 La
0.790 0.969 0.500 La
0.969 0.469 0.178 La
0.144 0.356 0.500 Ru
0.356 0.856 0.212 Ru
0.644 0.144 0.788 Ru
0.856 0.644 0.500 Ru
0.250 0.250 0.000 Pb
0.750 0.750 0.000 Pb
```

Summary:
* M_tot: 0.00 μB per formula unit
* crystal system: tetragonal
* mass density: 7.831 g/cm3
* energy relative to the elements: -409 meV/atom

=====

# 13
Below is crystalline La3RuPb at its relaxed geometry, with properties calculated at the PBE-GGA level.

Cell and atoms, written as POSCAR:
```
La3RuPb
1.0
8.973 0.000 0.000
0.000 5.806 0.000
-4.974 0.000 11.520
La Ru Pb
12 4 4
direct
0.043 0.040 0.378 La
0.043 0.460 0.878 La
0.293 0.575 0.448 La
0.293 0.925 0.948 La
0.406 0.035 0.659 La
0.406 0.465 0.159 La
0.594 0.535 0.841 La
0.594 0.965 0.341 La
0.707 0.075 0.052 La
0.707 0.425 0.552 La
0.957 0.540 0.122 La
0.957 0.960 0.622 La
0.367 0.155 0.413 Ru
0.367 0.345 0.913 Ru
0.633 0.655 0.087 Ru
0.633 0.845 0.587 Ru
0.174 0.016 0.167 Pb
0.174 0.484 0.667 Pb
0.826 0.516 0.333 Pb
0.826 0.984 0.833 Pb
```

Summary:
* M_tot: 0.00 μB per formula unit
* crystal system: monoclinic
* mass density: 8.023 g/cm3
* energy above the lowest structure with this stoichiometry: 0.0920 eV/atom
* energy relative to the elements: -353 meV/atom

=====

# 14
Below is crystalline LaRuPb4 at its relaxed geometry, with properties calculated at the PBE-GGA level.

Cell and atoms, written as POSCAR:
```
LaRuPb4
1.0
0.000 4.471 4.471
4.471 0.000 4.471
4.471 4.471 0.000
La Ru Pb
1 1 4
direct
0.000 0.000 0.000 La
0.250 0.250 0.250 Ru
0.126 0.625 0.625 Pb
0.625 0.126 0.625 Pb
0.625 0.625 0.126 Pb
0.625 0.625 0.625 Pb
```

Summary:
* M_tot: 1.79 μB per formula unit
* crystal system: cubic
* mass density: 9.931 g/cm3
* energy relative to the elements: 466 meV/atom

=====

# 15
Below is crystalline La3RuPb at its relaxed geometry, with properties calculated at the PBE-GGA level.

Cell and atoms, written as POSCAR:
```
La3RuPb
1.0
0.000 7.201 7.201
7.201 0.000 7.201
7.201 7.201 0.000
La Ru Pb
12 4 4
direct
0.083 0.083 0.667 La
0.083 0.667 0.083 La
0.083 0.667 0.667 La
0.333 0.333 0.917 La
0.333 0.917 0.333 La
0.333 0.917 0.917 La
0.667 0.083 0.083 La
0.667 0.083 0.667 La
0.667 0.667 0.083 La
0.917 0.333 0.333 La
0.917 0.333 0.917 La
0.917 0.917 0.333 La
0.000 0.000 0.000 Ru
0.000 0.000 0.500 Ru
0.000 0.500 0.000 Ru
0.500 0.000 0.000 Ru
0.000 0.500 0.500 Pb
0.500 0.000 0.500 Pb
0.500 0.500 0.000 Pb
0.500 0.500 0.500 Pb
```

Summary:
* M_tot: 0.00 μB per formula unit
* crystal system: cubic
* mass density: 6.449 g/cm3
* energy above the lowest structure with this stoichiometry: 0.2349 eV/atom
* energy relative to the elements: -210 meV/atom

=====

# 16
Below is crystalline La8RuPb2 at its relaxed geometry, with properties calculated at the PBE-GGA level.

Cell and atoms, written as POSCAR:
```
La8RuPb2
1.0
9.517 -2.827 0.000
9.517 2.827 0.000
-2.362 0.000 6.591
La Ru Pb
8 1 2
direct
0.003 0.003 0.222 La
0.216 0.216 0.145 La
0.358 0.358 0.671 La
0.414 0.414 0.244 La
0.586 0.586 0.756 La
0.642 0.642 0.329 La
0.784 0.784 0.855 La
0.997 0.997 0.778 La
0.500 0.500 0.000 Ru
0.169 0.169 0.631 Pb
0.831 0.831 0.369 Pb
```

Summary:
* M_tot: 0.00 μB per formula unit
* crystal system: monoclinic
* mass density: 7.617 g/cm3
* energy relative to the elements: -316 meV/atom

=====

# 17
Below is crystalline La3RuPb at its relaxed geometry, with properties calculated at the PBE-GGA level.

Cell and atoms, written as POSCAR:
```
La3RuPb
1.0
3.481 -8.561 0.000
3.481 8.561 0.000
0.000 0.000 6.063
La Ru Pb
6 2 2
direct
0.000 0.000 0.000 La
0.000 0.000 0.500 La
0.104 0.418 0.750 La
0.418 0.104 0.250 La
0.582 0.896 0.750 La
0.896 0.582 0.250 La
0.448 0.552 0.750 Ru
0.552 0.448 0.250 Ru
0.175 0.825 0.750 Pb
0.825 0.175 0.250 Pb
```

Summary:
* M_tot: 0.00 μB per formula unit
* crystal system: orthorhombic
* mass density: 6.663 g/cm3
* energy above the lowest structure with this stoichiometry: 0.5951 eV/atom
* energy relative to the elements: 150 meV/atom

=====

# 18
Below is crystalline LaRuPb2 at its relaxed geometry, with properties calculated at the PBE-GGA level.

Cell and atoms, written as POSCAR:
```
LaRuPb2
1.0
-2.197 2.197 11.218
2.197 -2.197 11.218
2.197 2.197 -11.218
La Ru Pb
2 2 4
direct
0.000 0.000 0.000 La
0.750 0.250 0.500 La
0.250 0.750 0.500 Ru
0.500 0.500 0.000 Ru
0.145 0.625 0.020 Pb
0.375 0.395 0.520 Pb
0.605 0.125 0.980 Pb
0.875 0.855 0.480 Pb
```

Summary:
* M_tot: 0.00 μB per formula unit
* crystal system: tetragonal
* mass density: 10.037 g/cm3
* energy relative to the elements: 188 meV/atom

=====

# 19
Below is crystalline La3RuPb at its relaxed geometry, with properties calculated at the PBE-GGA level.

Cell and atoms, written as POSCAR:
```
La3RuPb
1.0
-3.048 3.048 11.373
3.048 -3.048 11.373
3.048 3.048 -11.373
La Ru Pb
6 2 2
direct
0.212 0.212 0.000 La
0.373 0.139 0.766 La
0.373 0.606 0.234 La
0.394 0.627 0.766 La
0.788 0.788 0.000 La
0.861 0.627 0.234 La
0.699 0.199 0.500 Ru
0.801 0.301 0.500 Ru
0.250 0.750 0.500 Pb
0.500 0.500 0.000 Pb
```

Summary:
* M_tot: 0.09 μB per formula unit
* crystal system: tetragonal
* mass density: 5.698 g/cm3
* energy above the lowest structure with this stoichiometry: 0.9088 eV/atom
* energy relative to the elements: 463 meV/atom

=====

# 20
Below is crystalline LaRuPb2 at its relaxed geometry, with properties calculated at the PBE-GGA level.

Cell and atoms, written as POSCAR:
```
LaRuPb2
1.0
2.644 -4.682 0.000
2.644 4.682 0.000
0.000 0.000 4.621
La Ru Pb
1 1 2
direct
0.000 0.000 0.000 La
0.500 0.500 0.000 Ru
0.331 0.669 0.500 Pb
0.669 0.331 0.500 Pb
```

Summary:
* M_tot: 0.00 μB per formula unit
* crystal system: orthorhombic
* mass density: 9.496 g/cm3
* energy relative to the elements: -145 meV/atom

=====

# 21
Below is crystalline La2RuPb at its relaxed geometry, with properties calculated at the PBE-GGA level.

Cell and atoms, written as POSCAR:
```
La2RuPb
1.0
2.045 1.181 8.493
-2.045 1.181 8.493
0.000 -2.362 8.493
La Ru Pb
2 1 1
direct
0.229 0.229 0.229 La
0.771 0.771 0.771 La
0.500 0.500 0.500 Ru
0.000 0.000 0.000 Pb
```

Summary:
* M_tot: 0.00 μB per formula unit
* crystal system: trigonal
* mass density: 7.908 g/cm3
* energy relative to the elements: -278 meV/atom

=====

# 22
Below is crystalline La3RuPb at its relaxed geometry, with properties calculated at the PBE-GGA level.

Cell and atoms, written as POSCAR:
```
La3RuPb
1.0
6.368 0.000 0.000
0.000 9.935 0.000
0.000 0.000 9.175
La Ru Pb
12 4 4
direct
0.159 0.055 0.172 La
0.159 0.445 0.172 La
0.200 0.750 0.361 La
0.300 0.250 0.861 La
0.341 0.555 0.672 La
0.341 0.945 0.672 La
0.659 0.055 0.328 La
0.659 0.445 0.328 La
0.700 0.750 0.139 La
0.800 0.250 0.639 La
0.841 0.555 0.828 La
0.841 0.945 0.828 La
0.000 0.000 0.500 Ru
0.000 0.500 0.500 Ru
0.500 0.000 0.000 Ru
0.500 0.500 0.000 Ru
0.230 0.750 0.977 Pb
0.270 0.250 0.477 Pb
0.730 0.750 0.523 Pb
0.770 0.250 0.023 Pb
```

Summary:
* M_tot: 0.00 μB per formula unit
* crystal system: orthorhombic
* mass density: 8.296 g/cm3
* energy above the lowest structure with this stoichiometry: 0.1247 eV/atom
* energy relative to the elements: -321 meV/atom

=====

# 23
Below is crystalline LaRuPb2 at its relaxed geometry, with properties calculated at the PBE-GGA level.

Cell and atoms, written as POSCAR:
```
LaRuPb2
1.0
3.175 -3.182 0.000
3.175 3.182 0.000
0.000 0.000 4.986
La Ru Pb
1 1 2
direct
0.000 0.000 0.000 La
0.500 0.500 0.000 Ru
0.000 0.500 0.500 Pb
0.500 0.000 0.500 Pb
```

Summary:
* M_tot: 0.00 μB per formula unit
* crystal system: orthorhombic
* mass density: 10.786 g/cm3
* energy relative to the elements: 18 meV/atom